# 1
Density functional theory data (PBE) for Ir3Rh5 after structural relaxation.

## Properties
Formation energy from the elements ... 0.0335 eV per atom
Energy relative to the lowest polymorph listed for this composition ... 42.0 meV per atom
VASP energy ... -7.884 eV per atom

Cell and atoms, written as CIF:
```
data_Ir3Rh5
_chemical_formula_sum 'Ir12 Rh20'
_symmetry_space_group_name_H-M 'C 1 2/c 1'
_symmetry_Int_Tables_number 15
_cell_length_a 10.3984
_cell_length_b 9.4827
_cell_length_c 5.1971
_cell_angle_alpha 90.00
_cell_angle_beta 116.37
_cell_angle_gamma 90.00
loop_
_symmetry_equiv_pos_as_xyz
'x,y,z'
'-x,-y,-z'
'-x,y,-z+1/2'
'x,-y,z+1/2'
'x+1/2,y+1/2,z'
'-x+1/2,-y+1/2,-z'
'-x+1/2,y+1/2,-z+1/2'
'x+1/2,-y+1/2,z+1/2'
loop_
_atom_site_label
_atom_site_fract_x
_atom_site_fract_y
_atom_site_fract_z
Ir1 0.0000 0.0427 0.2500
Ir2 0.1243 0.2917 0.4957
Rh1 0.0000 0.4586 0.7500
Rh2 0.1245 0.2083 0.0019
Rh3 0.2493 0.0413 0.7444
```

# 2
Density functional theory data (PBE) for Ba3Sn5 after structural relaxation.

## Properties
Formation energy from the elements ... -0.5682 eV per atom
Energy relative to the lowest polymorph listed for this composition ... 58.7 meV per atom
VASP energy ... -3.791 eV per atom

Cell and atoms, written as CIF:
```
data_Ba3Sn5
_chemical_formula_sum 'Ba24 Sn40'
_symmetry_space_group_name_H-M 'F d d 2'
_symmetry_Int_Tables_number 43
_symmetry_space_group_name_Hall 'F 2 -2d'
_cell_length_a 6.9884
_cell_length_b 21.0783
_cell_length_c 16.5548
_cell_angle_alpha 90.00
_cell_angle_beta 90.00
_cell_angle_gamma 90.00
loop_
_atom_site_label
_atom_site_fract_x
_atom_site_fract_y
_atom_site_fract_z
Ba1 0.0000 0.0000 0.0000
Ba2 0.0086 0.1710 0.4987
Sn1 0.0000 0.0000 0.5600
Sn2 0.0094 0.3324 0.5874
Sn3 0.0203 0.1671 0.9131
```

# 3
Density functional theory data (PBE) for Y4GeTe2P after structural relaxation.

## Properties
VASP energy ... -6.671 eV per atom
Formation energy (no corrections) ... -135.14 kJ/mol of atoms

Cell and atoms, written as CIF:
```
data_Y4GeTe2P
_chemical_formula_sum 'Y4 Ge1 Te2 P1'
_symmetry_space_group_name_H-M 'P 1 2/m 1'
_symmetry_Int_Tables_number 10
_cell_length_a 7.2602
_cell_length_b 4.1926
_cell_length_c 7.4648
_cell_angle_alpha 90.00
_cell_angle_beta 108.88
_cell_angle_gamma 90.00
loop_
_symmetry_equiv_pos_as_xyz
'x,y,z'
'-x,-y,-z'
'-x,y,-z'
'x,-y,z'
loop_
_atom_site_label
_atom_site_fract_x
_atom_site_fract_y
_atom_site_fract_z
Y1 0.2363 0.0000 0.2144
Y2 0.2590 0.5000 0.7820
Ge1 0.5000 0.0000 0.0000
Te1 0.0000 0.0000 0.5000
Te2 0.5000 0.5000 0.5000
P1 0.0000 0.5000 0.0000
```

# 4
Density functional theory data (PBE) for Th12Fe6Bi after structural relaxation.

## Properties
Formation energy from the elements ... -0.0831 eV per atom
VASP energy ... -7.646 eV per atom

Cell and atoms, written as CIF:
```
data_Th12Fe6Bi
_chemical_formula_sum 'Th24 Fe12 Bi2'
_symmetry_space_group_name_H-M 'I m -3'
_symmetry_Int_Tables_number 204
_symmetry_space_group_name_Hall '-I 2 2 3'
_cell_length_a 9.9650
_cell_length_b 9.9650
_cell_length_c 9.9650
_cell_angle_alpha 90.00
_cell_angle_beta 90.00
_cell_angle_gamma 90.00
loop_
_atom_site_label
_atom_site_fract_x
_atom_site_fract_y
_atom_site_fract_z
Th1 0.0000 0.3183 0.1791
Fe1 0.0000 0.1377 0.5000
Bi1 0.0000 0.0000 0.0000
```

# 5
Density functional theory data (PBE) for NaHf2MnGa after structural relaxation.

## Properties
Formation energy from the elements ... 0.3602 eV per atom
VASP energy ... -6.324 eV per atom

Cell and atoms, written as CIF:
```
data_NaHf2MnGa
_chemical_formula_sum 'Na1 Hf2 Mn1 Ga1'
_symmetry_space_group_name_H-M 'P 4/m m m'
_symmetry_Int_Tables_number 123
_symmetry_space_group_name_Hall '-P 4 2'
_cell_length_a 4.9115
_cell_length_b 4.9115
_cell_length_c 4.8573
_cell_angle_alpha 90.00
_cell_angle_beta 90.00
_cell_angle_gamma 90.00
loop_
_atom_site_label
_atom_site_fract_x
_atom_site_fract_y
_atom_site_fract_z
Na1 0.0000 0.0000 0.0000
Hf1 0.0000 0.5000 0.5000
Mn1 0.5000 0.5000 0.5000
Ga1 0.5000 0.5000 0.0000
```

# 6
Density functional theory data (PBE) for Cs2KAsN after structural relaxation.

## Properties
VASP energy ... -2.464 eV per atom
Formation energy (no corrections) ... 66.73 kJ/mol of atoms

Cell and atoms, written as CIF:
```
data_Cs2KAsN
_chemical_formula_sum 'Cs2 K1 As1 N1'
_symmetry_space_group_name_H-M 'P 4/m m m'
_symmetry_Int_Tables_number 123
_symmetry_space_group_name_Hall '-P 4 2'
_cell_length_a 6.9732
_cell_length_b 6.9732
_cell_length_c 6.4220
_cell_angle_alpha 90.00
_cell_angle_beta 90.00
_cell_angle_gamma 90.00
loop_
_atom_site_label
_atom_site_fract_x
_atom_site_fract_y
_atom_site_fract_z
Cs1 0.0000 0.5000 0.0000
K1 0.0000 0.0000 0.5000
As1 0.0000 0.0000 0.0000
N1 0.5000 0.5000 0.5000
```

# 7
Density functional theory data (PBE) for GaCu2SnRh after structural relaxation.

## Properties
Formation energy from the elements ... 0.4430 eV per atom
VASP energy ... -4.072 eV per atom

Cell and atoms, written as CIF:
```
data_GaCu2SnRh
_chemical_formula_sum 'Ga1 Cu2 Sn1 Rh1'
_symmetry_space_group_name_H-M 'P 4/m m m'
_symmetry_Int_Tables_number 123
_symmetry_space_group_name_Hall '-P 4 2'
_cell_length_a 4.7628
_cell_length_b 4.7628
_cell_length_c 4.6285
_cell_angle_alpha 90.00
_cell_angle_beta 90.00
_cell_angle_gamma 90.00
loop_
_atom_site_label
_atom_site_fract_x
_atom_site_fract_y
_atom_site_fract_z
Ga1 0.0000 0.0000 0.0000
Cu1 0.0000 0.5000 0.5000
Sn1 0.5000 0.5000 0.0000
Rh1 0.0000 0.0000 0.5000
```

# 8
Density functional theory data (PBE) for ScIn2Ag2 after structural relaxation.

## Properties
Formation energy from the elements ... -0.1453 eV per atom
Energy relative to the lowest polymorph listed for this composition ... 0.0 meV per atom
VASP energy ... -3.648 eV per atom

Cell and atoms, written as CIF:
```
data_ScIn2Ag2
_chemical_formula_sum 'Sc2 In4 Ag4'
_symmetry_space_group_name_H-M 'C 1 2/m 1'
_symmetry_Int_Tables_number 12
_cell_length_a 9.4594
_cell_length_b 4.6310
_cell_length_c 6.4663
_cell_angle_alpha 90.00
_cell_angle_beta 132.08
_cell_angle_gamma 90.00
loop_
_symmetry_equiv_pos_as_xyz
'x,y,z'
'-x,-y,-z'
'-x,y,-z'
'x,-y,z'
'x+1/2,y+1/2,z'
'-x+1/2,-y+1/2,-z'
'-x+1/2,y+1/2,-z'
'x+1/2,-y+1/2,z'
loop_
_atom_site_label
_atom_site_fract_x
_atom_site_fract_y
_atom_site_fract_z
Sc1 0.0000 0.0000 0.0000
In1 0.2042 0.0000 0.6324
Ag1 0.0856 0.5000 0.7854
```

# 9
Density functional theory data (PBE) for LiSmPd2 after structural relaxation.

## Properties
Formation energy from the elements ... -0.6222 eV per atom
VASP energy ... -4.877 eV per atom

Cell and atoms, written as CIF:
```
data_LiSmPd2
_chemical_formula_sum 'Li1 Sm1 Pd2'
_symmetry_space_group_name_H-M 'P 4/m m m'
_symmetry_Int_Tables_number 123
_symmetry_space_group_name_Hall '-P 4 2'
_cell_length_a 4.3153
_cell_length_b 4.3153
_cell_length_c 3.9684
_cell_angle_alpha 90.00
_cell_angle_beta 90.00
_cell_angle_gamma 90.00
loop_
_atom_site_label
_atom_site_fract_x
_atom_site_fract_y
_atom_site_fract_z
Li1 0.0000 0.0000 0.0000
Sm1 0.5000 0.5000 0.0000
Pd1 0.0000 0.5000 0.5000
```

# 10
Density functional theory data (PBE) for BeTl2Pt after structural relaxation.

## Properties
Formation energy from the elements ... -0.0899 eV per atom
Energy relative to the lowest polymorph listed for this composition ... 0.0 meV per atom
VASP energy ... -3.715 eV per atom

Cell and atoms, written as CIF:
```
data_BeTl2Pt
_chemical_formula_sum 'Be1 Tl2 Pt1'
_symmetry_space_group_name_H-M 'P 4 m m'
_symmetry_Int_Tables_number 99
_cell_length_a 3.1678
_cell_length_b 3.1678
_cell_length_c 8.6569
_cell_angle_alpha 90.00
_cell_angle_beta 90.00
_cell_angle_gamma 90.00
loop_
_symmetry_equiv_pos_as_xyz
'x,y,z'
'-y,x,z'
'-x,-y,z'
'y,-x,z'
'-x,y,z'
'y,x,z'
'x,-y,z'
'-y,-x,z'
loop_
_atom_site_label
_atom_site_fract_x
_atom_site_fract_y
_atom_site_fract_z
Be1 0.0000 0.0000 0.0000
Tl1 0.0000 0.0000 0.3460
Tl2 0.5000 0.5000 0.7129
Pt1 0.5000 0.5000 0.0619
```

# 11
Density functional theory data (PBE) for Dy12YHo6 after structural relaxation.

## Properties
Formation energy from the elements ... 0.1579 eV per atom
Energy relative to the lowest polymorph listed for this composition ... 0.0 meV per atom
VASP energy ... -4.535 eV per atom

Cell and atoms, written as CIF:
```
data_Dy12YHo6
_chemical_formula_sum 'Dy36 Y3 Ho18'
_symmetry_space_group_name_H-M 'R -3'
_symmetry_Int_Tables_number 148
_symmetry_space_group_name_Hall '-R 3'
_cell_length_a 11.8471
_cell_length_b 11.8471
_cell_length_c 15.1232
_cell_angle_alpha 90.00
_cell_angle_beta 90.00
_cell_angle_gamma 120.00
loop_
_atom_site_label
_atom_site_fract_x
_atom_site_fract_y
_atom_site_fract_z
Dy1 0.0136 0.1799 0.1913
Dy2 0.0417 0.1909 0.4160
Y1 0.0000 0.0000 0.0000
Ho1 0.0105 0.5875 0.6810
```

# 12
Density functional theory data (PBE) for Fe2ReMo after structural relaxation.

## Properties
Formation energy from the elements ... 0.1057 eV per atom
VASP energy ... -9.945 eV per atom

Cell and atoms, written as CIF:
```
data_Fe2ReMo
_chemical_formula_sum 'Fe2 Re1 Mo1'
_symmetry_space_group_name_H-M 'P 4/m m m'
_symmetry_Int_Tables_number 123
_symmetry_space_group_name_Hall '-P 4 2'
_cell_length_a 3.7679
_cell_length_b 3.7679
_cell_length_c 3.6485
_cell_angle_alpha 90.00
_cell_angle_beta 90.00
_cell_angle_gamma 90.00
loop_
_atom_site_label
_atom_site_fract_x
_atom_site_fract_y
_atom_site_fract_z
Fe1 0.0000 0.5000 0.0000
Re1 0.0000 0.0000 0.5000
Mo1 0.5000 0.5000 0.5000
```

- Look up the VASP energy of the second one.
  -3.791 eV per atom